1.
Material: AlMo2Se
Method: DFT, PBE
State: optimized geometry

extended XYZ file:
```
8
Lattice="-1.072 -1.254 3.463 3.607 -1.089 0.721 3.081 7.215 5.691" Properties=species:S:1:pos:R:3 pbc="T T T"
Mo 4.566 3.349 7.937
Mo 0.540 0.871 3.713
Mo 3.225 4.543 5.830
Mo 2.901 0.979 2.271
Se 0.000 0.000 0.000
Se 1.639 2.394 5.623
Al 1.268 -1.172 2.092
Al 3.978 2.477 4.252
```

ΔE_f (raw) in eV/atom: 0.3276
Space group: I-42d
Polymorph energy (0 for the lowest one) in eV per atom: 0.417
Total magnetic moment in μB per formula unit: 0.0

2.
Material: Rb2BaGe2
Method: DFT, PBE
State: optimized geometry

extended XYZ file:
```
10
Lattice="8.467 0.000 0.000 0.000 8.467 0.000 0.000 0.000 5.990" Properties=species:S:1:pos:R:3 pbc="T T T"
Ba 0.000 0.000 0.000
Ba 4.234 4.234 0.000
Ge 3.396 7.630 0.000
Ge 7.630 5.071 0.000
Ge 0.838 3.396 0.000
Ge 5.071 0.838 0.000
Rb 6.995 2.762 2.995
Rb 1.472 5.706 2.995
Rb 2.762 1.472 2.995
Rb 5.706 6.995 2.995
```

Space group: P4/mbm
Polymorph energy (0 for the lowest one) in eV per atom: 0.034
Total magnetic moment in μB per formula unit: 0.2

3.
Material: Tm8IrRh2
Method: DFT, PBE
State: optimized geometry

extended XYZ file:
```
11
Lattice="-0.876 -3.801 -4.363 -2.682 -3.901 5.771 -4.458 5.591 -2.141" Properties=species:S:1:pos:R:3 pbc="T T T"
Tm -5.797 -1.332 2.232
Tm -2.252 -0.614 -2.762
Tm -5.304 -1.982 -1.188
Tm -2.706 -0.025 0.577
Tm -3.924 -5.640 -0.214
Tm -1.796 -3.052 -0.730
Tm -6.253 1.106 0.200
Tm -4.947 -0.174 -4.771
Ir -7.267 1.111 2.963
Rh -3.712 -2.795 1.204
Rh -4.384 0.795 -1.788
```

Space group: Cm
Polymorph energy (0 for the lowest one) in eV per atom: 0.063
Total magnetic moment in μB per formula unit: 0.0

4.
Material: BaZn3Rh
Method: DFT, PBE
State: optimized geometry

extended XYZ file:
```
10
Lattice="4.358 -0.011 -0.004 -2.170 7.813 0.014 2.186 1.872 6.181" Properties=species:S:1:pos:R:3 pbc="T T T"
Zn 2.240 6.016 4.833
Zn 2.235 3.352 4.381
Zn 4.421 6.433 6.061
Zn 2.238 5.291 2.356
Zn 2.241 7.226 0.333
Zn 4.416 2.319 5.440
Ba 0.061 7.922 3.215
Ba 0.056 2.669 1.504
Rh 4.418 4.719 4.048
Rh 0.058 5.859 0.666
```

Space group: P-1
Polymorph energy (0 for the lowest one) in eV per atom: 0.083
Total magnetic moment in μB per formula unit: 0.0

5.
Material: Ho4Er2Pb
Method: DFT, PBE
State: optimized geometry

extended XYZ file:
```
14
Lattice="-1.349 0.372 -5.367 3.020 -5.952 -1.172 -9.090 -5.561 4.814" Properties=species:S:1:pos:R:3 pbc="T T T"
Ho -5.399 -6.858 0.895
Ho -5.613 -4.429 -1.768
Ho -3.464 -1.437 -2.060
Ho -0.613 -2.250 0.051
Ho -6.807 -8.891 -1.776
Ho -1.806 -6.712 0.044
Ho -3.955 -9.704 0.335
Ho -2.020 -4.283 -2.620
Er -3.916 -7.313 -2.339
Er -3.503 -3.828 0.615
Er 1.372 -4.387 -3.572
Er -8.791 -6.754 1.847
Pb -8.239 -5.893 -1.103
Pb 0.820 -5.248 -0.621
```

Energy in eV/atom: -4.500
Space group: P2_1/m
Total magnetic moment in μB per formula unit: 0.0

6.
Material: ZrTl8
Method: DFT, PBE
State: optimized geometry

extended XYZ file:
```
9
Lattice="-5.987 5.987 1.790 5.987 -5.987 1.790 5.987 5.987 -1.790" Properties=species:S:1:pos:R:3 pbc="T T T"
Tl 1.928 1.928 1.790
Tl 4.059 4.059 0.000
Tl 0.000 3.991 0.000
Tl 1.928 -1.928 1.790
Tl -1.928 1.928 1.790
Tl 7.983 0.000 0.000
Tl 3.991 0.000 0.000
Tl 0.000 7.983 0.000
Zr 0.000 0.000 0.000
```

Energy in eV/atom: -2.935
Space group: I4/mmm
Total magnetic moment in μB per formula unit: 0.0

7.
Material: Ca2Cu3Ge4Ir
Method: DFT, PBE
State: optimized geometry

extended XYZ file:
```
10
Lattice="4.201 0.000 0.000 0.000 4.201 0.000 0.000 0.000 10.192" Properties=species:S:1:pos:R:3 pbc="T T T"
Cu 2.100 0.000 8.828
Cu 0.000 0.000 5.096
Cu 0.000 2.100 1.364
Ge 2.100 0.000 6.419
Ge 0.000 0.000 0.000
Ge 0.000 2.100 3.773
Ge 2.100 2.100 0.000
Ir 2.100 2.100 5.096
Ca 2.100 0.000 2.542
Ca 0.000 2.100 7.650
```

Energy in eV/atom: -4.764
Space group: P-4m2
Total magnetic moment in μB per formula unit: 0.0

8.
Material: Hg8PtBr6
Method: DFT, PBE
State: optimized geometry

extended XYZ file:
```
15
Lattice="-6.948 -1.202 -4.829 -3.660 -1.309 7.610 -0.155 8.543 0.114" Properties=species:S:1:pos:R:3 pbc="T T T"
Hg -2.645 1.483 0.711
Hg -5.636 6.958 -2.519
Hg -1.582 7.108 1.852
Hg -5.127 -0.925 5.415
Hg -9.180 -1.076 1.043
Hg -4.349 4.860 6.631
Hg -6.413 1.173 -3.736
Hg -8.117 4.550 2.184
Br -6.070 3.412 -2.634
Br -3.073 5.843 3.441
Br -4.692 2.620 5.529
Br -4.168 6.466 -0.531
Br -7.690 0.190 -0.546
Br -6.595 -0.434 3.427
Pt 0.000 0.000 0.000
```

ΔE_f (raw) in eV/atom: -0.2803
Space group: R-3
Total magnetic moment in μB per formula unit: 0.0

9.
Material: PrMgCdBi
Method: DFT, PBE
State: optimized geometry

extended XYZ file:
```
4
Lattice="-4.146 -2.221 -2.684 0.915 -3.879 -3.666 -1.472 -5.107 1.037" Properties=species:S:1:pos:R:3 pbc="T T T"
Pr -1.176 -2.802 -1.328
Bi -2.351 -5.604 -2.656
Cd 0.000 0.000 0.000
Mg -3.527 -8.405 -3.984
```

Energy in eV/atom: -3.075
Space group: F-43m
Total magnetic moment in μB per formula unit: 0.0

10.
Material: HIF2
Method: DFT, PBE
State: optimized geometry

extended XYZ file:
```
4
Lattice="2.979 -1.124 5.746 5.122 -2.533 3.241 5.200 0.992 3.891" Properties=species:S:1:pos:R:3 pbc="T T T"
F 1.457 -0.292 1.411
F 11.844 -2.373 11.468
H 6.651 -1.333 6.439
I 0.000 0.000 0.000
```

Space group: R-3m
Polymorph energy (0 for the lowest one) in eV per atom: 0.976
Total magnetic moment in μB per formula unit: 0.6

11.
Material: Pm4Pd3
Method: DFT, PBE
State: optimized geometry

extended XYZ file:
```
7
Lattice="4.820 0.000 1.437 2.196 4.291 1.437 -0.010 -0.006 8.836" Properties=species:S:1:pos:R:3 pbc="T T T"
Pm 6.136 3.753 5.826
Pm 2.622 1.603 8.813
Pm 4.385 2.682 2.897
Pm 0.870 0.532 5.884
Pd 1.730 1.058 2.999
Pd 0.000 0.000 0.000
Pd 5.276 3.227 8.711
```

Energy in eV/atom: -5.550
Space group: R-3m
Total magnetic moment in μB per formula unit: 0.0

12.
Material: Tb2PrSm5Tm
Method: DFT, PBE
State: optimized geometry

extended XYZ file:
```
18
Lattice="-2.650 -0.597 -4.949 8.915 -5.509 -0.889 -5.021 -8.729 3.743" Properties=species:S:1:pos:R:3 pbc="T T T"
Tm -4.789 -9.702 0.516
Tm 3.936 -8.780 -1.048
Pr 3.027 -2.430 -1.328
Pr 0.636 -8.199 -2.571
Sm 3.381 -10.483 -3.766
Sm 3.556 -12.043 -0.450
Sm -2.341 -6.119 -1.228
Sm 0.136 -0.401 -0.024
Sm 0.993 -9.617 0.629
Sm 5.846 -4.785 -2.553
Sm 0.707 -4.426 -3.064
Sm 2.742 -5.947 -0.750
Sm -2.062 -9.870 -0.924
Sm -2.227 -2.645 -1.708
Tb 3.413 -6.904 -4.215
Tb -2.039 -7.705 2.022
Tb 0.396 -11.904 -1.995
Tb 0.161 -4.126 0.412
```

Energy in eV/atom: -4.533
Space group: Cmc2_1
Total magnetic moment in μB per formula unit: 0.0